P | Below is BaLaCo2 after structural relaxation, with properties calculated at the PBE-GGA level.

Structure (POSCAR):
```
BaLaCo2
1.0
-0.481 -0.734 -6.541
3.817 -0.181 -5.381
1.827 -4.157 -4.789
La Ba Co
1 1 2
Cartesian
1.291 -1.268 -4.178
3.872 -3.804 -12.534
2.908 -2.857 -9.414
4.836 -4.751 -15.653
```

Results
Symmetry: R-3m, No. 166
Calculated volume (Å³/atom): 26.4

Q | Below is BaLaCo2 after structural relaxation, with properties calculated at the PBE-GGA level.

Structure (POSCAR):
```
BaLaCo2
1.0
3.631 0.000 0.000
0.000 5.156 0.000
0.000 0.000 5.156
Ba La Co
1 1 2
Cartesian
1.815 0.000 2.578
1.815 2.578 0.000
0.000 2.578 2.578
0.000 0.000 0.000
```

Results
Symmetry: P4/mmm, No. 123
Calculated volume (Å³/atom): 24.1

R | Below is BaLaCo2 after structural relaxation, with properties calculated at the PBE-GGA level.

Structure (POSCAR):
```
BaLaCo2
1.0
4.135 0.000 0.000
0.000 4.224 -0.001
0.000 2.110 6.569
Co Ba La
2 1 1
Cartesian
2.067 0.792 1.428
0.000 0.792 0.615
2.067 5.014 5.500
0.000 2.903 2.308
```

Results
Symmetry: Amm2, No. 38
Calculated volume (Å³/atom): 28.7

List of relative energies, unit kJ/mol of atoms: P 16.3; Q 32.2; R 0.0